[1]
Hg2IrRu: relaxed, PBE.

a b c (Å): 6.5422 6.5422 6.5422
angles (deg): 90.00 90.00 90.00
With the nearest neighbours (Å) after each atom.
Element x y z (fractional)
Hg1 0.2500 0.2500 0.2500  4 Ru 2.83, 4 Ir 2.83
Hg2 0.2500 0.2500 0.7500  4 Ru 2.83, 4 Ir 2.83
Hg3 0.2500 0.7500 0.2500  4 Ru 2.83, 4 Ir 2.83
Hg4 0.2500 0.7500 0.7500  4 Ru 2.83, 4 Ir 2.83
Hg5 0.7500 0.2500 0.2500  4 Ru 2.83, 4 Ir 2.83
Hg6 0.7500 0.2500 0.7500  4 Ru 2.83, 4 Ir 2.83
Hg7 0.7500 0.7500 0.2500  4 Ru 2.83, 4 Ir 2.83
Hg8 0.7500 0.7500 0.7500  4 Ru 2.83, 4 Ir 2.83
Ir1 0.0000 0.0000 0.0000  8 Hg 2.83
Ir2 0.0000 0.5000 0.5000  8 Hg 2.83
Ir3 0.5000 0.0000 0.5000  8 Hg 2.83
Ir4 0.5000 0.5000 0.0000  8 Hg 2.83
Ru1 0.0000 0.0000 0.5000  8 Hg 2.83
Ru2 0.0000 0.5000 0.0000  8 Hg 2.83
Ru3 0.5000 0.0000 0.0000  8 Hg 2.83
Ru4 0.5000 0.5000 0.5000  8 Hg 2.83

ΔE to the lowest computed polymorph, eV per atom: 0.389
Energy, eV for the cell shown: -63.82
SG: No. 225
Energy relative to the elements, meV per atom: 697

---

[2]
Ta2InAs: relaxed, PBE.

a b c (Å): 5.9385 8.7190 3.0546
angles (deg): 90.00 109.24 90.00
With the nearest neighbours (Å) after each atom.
Element x y z (fractional)
Ta1 0.2500 0.2500 0.0000  2 In 2.79, 2 As 2.79, 4 Ta 2.97-3.05
Ta2 0.2500 0.7500 0.0000  2 In 2.79, 2 As 2.79, 4 Ta 2.97-3.05
Ta3 0.7500 0.2500 0.0000  2 As 2.79, 2 In 2.79, 4 Ta 2.97-3.05
Ta4 0.7500 0.7500 0.0000  2 In 2.79, 2 As 2.79, 4 Ta 2.97-3.05
In1 0.0000 0.0000 0.5000  4 Ta 2.79, 2 As 2.97, 2 In 3.05
In2 0.5000 0.5000 0.5000  4 Ta 2.79, 2 As 2.97, 2 In 3.05
As1 0.0000 0.5000 0.5000  4 Ta 2.79, 2 In 2.97, 2 As 3.05
As2 0.5000 0.0000 0.5000  4 Ta 2.79, 2 In 2.97, 2 As 3.05

ΔE to the lowest computed polymorph, eV per atom: 0.253
Energy, eV for the cell shown: -60.37
SG: No. 12
Energy relative to the elements, meV per atom: 227

---

[3]
La12Nd3Er: relaxed, PBE.

a b c (Å): 5.2347 5.2347 20.9608
angles (deg): 90.00 90.00 90.00
With the nearest neighbours (Å) after each atom.
Element x y z (fractional)
La1 0.0000 0.0000 0.0000  8 La 3.68, 4 Er 3.70
La2 0.0000 0.0000 0.2491  4 Nd 3.70, 8 La 3.71
La3 0.0000 0.0000 0.5000  4 Nd 3.70, 8 La 3.71
La4 0.0000 0.0000 0.7509  4 Nd 3.70, 8 La 3.71
La5 0.0000 0.5000 0.1234  8 La 3.68-3.71, 2 Er 3.68, 2 Nd 3.71
La6 0.0000 0.5000 0.3743  8 La 3.70-3.71, 4 Nd 3.71
La7 0.0000 0.5000 0.6257  8 La 3.70-3.71, 4 Nd 3.71
La8 0.0000 0.5000 0.8766  8 La 3.68-3.71, 2 Er 3.68, 2 Nd 3.71
La9 0.5000 0.0000 0.1234  8 La 3.68-3.71, 2 Er 3.68, 2 Nd 3.71
La10 0.5000 0.0000 0.3743  8 La 3.70-3.71, 4 Nd 3.71
La11 0.5000 0.0000 0.6257  8 La 3.70-3.71, 4 Nd 3.71
La12 0.5000 0.0000 0.8766  8 La 3.68-3.71, 2 Er 3.68, 2 Nd 3.71
Nd1 0.5000 0.5000 0.2487  12 La 3.70-3.71
Nd2 0.5000 0.5000 0.5000  12 La 3.70-3.71
Nd3 0.5000 0.5000 0.7513  12 La 3.70-3.71
Er1 0.5000 0.5000 0.0000  12 La 3.68-3.70

Energy, eV for the cell shown: -77.89
SG: No. 123
Energy relative to the elements, meV per atom: 7

---

[4]
Re2PtW: relaxed, PBE.

a b c (Å): 3.8423 3.8423 18.4339
angles (deg): 90.00 90.00 90.00
With the nearest neighbours (Å) after each atom.
Element x y z (fractional)
Re1 0.2154 0.2500 0.1250  2 Re 2.54, 2 Pt 2.63, 2 W 2.73
Re2 0.2500 0.7154 0.3750  2 Re 2.54, 2 Pt 2.63, 2 W 2.73
Re3 0.2500 0.7846 0.8750  2 Re 2.54, 2 Pt 2.63, 2 W 2.73
Re4 0.2846 0.2500 0.6250  2 Re 2.54, 2 Pt 2.63, 2 W 2.73
Re5 0.7154 0.7500 0.6250  2 Re 2.54, 2 Pt 2.63, 2 W 2.73
Re6 0.7500 0.2154 0.8750  2 Re 2.54, 2 Pt 2.63, 2 W 2.73
Re7 0.7500 0.2846 0.3750  2 Re 2.54, 2 Pt 2.63, 2 W 2.73
Re8 0.7846 0.7500 0.1250  2 Re 2.54, 2 Pt 2.63, 2 W 2.73
Pt1 0.0000 0.0000 0.0000  4 Re 2.63, 4 W 2.72
Pt2 0.0000 0.5000 0.2500  4 Re 2.63, 4 W 2.72
Pt3 0.5000 0.0000 0.7500  4 Re 2.63, 4 W 2.72
Pt4 0.5000 0.5000 0.5000  4 Re 2.63, 4 W 2.72
W1 0.0000 0.0000 0.5000  4 Pt 2.72, 4 Re 2.73
W2 0.0000 0.5000 0.7500  4 Pt 2.72, 4 Re 2.73
W3 0.5000 0.0000 0.2500  4 Pt 2.72, 4 Re 2.73
W4 0.5000 0.5000 0.0000  4 Pt 2.72, 4 Re 2.73

ΔE to the lowest computed polymorph, eV per atom: 0.830
Energy, eV for the cell shown: -163.98
SG: No. 122
Energy relative to the elements, meV per atom: 724

---

[5]
CsSbRu: relaxed, PBE.

a b c (Å): 4.5159 4.5159 9.6302
angles (deg): 90.00 90.00 90.00
With the nearest neighbours (Å) after each atom.
Element x y z (fractional)
Cs1 0.2500 0.2500 0.1692  4 Sb 3.69, 4 Ru 3.91
Cs2 0.7500 0.7500 0.8308  4 Sb 3.69, 4 Ru 3.91
Sb1 0.2500 0.2500 0.6384  4 Ru 2.62
Sb2 0.7500 0.7500 0.3616  4 Ru 2.62
Ru1 0.2500 0.7500 0.5000  4 Sb 2.62
Ru2 0.7500 0.2500 0.5000  4 Sb 2.62

ΔE_f (raw), eV per formula unit: -0.52
Energy, eV for the cell shown: -29.55
SG: No. 129

---

[6]
Nd3Ni3Bi4: relaxed, PBE.

a b c (Å): 8.5576 8.5576 8.5576
angles (deg): 109.47 109.47 109.47
With the nearest neighbours (Å) after each atom.
Element x y z (fractional)
Nd1 0.1250 0.8750 0.2500  4 Ni 3.03, 4 Bi 3.35
Nd2 0.2500 0.1250 0.8750  4 Ni 3.03, 4 Bi 3.35
Nd3 0.3750 0.6250 0.7500  4 Ni 3.03, 4 Bi 3.35
Nd4 0.6250 0.7500 0.3750  4 Ni 3.03, 4 Bi 3.35
Nd5 0.7500 0.3750 0.6250  4 Ni 3.03, 4 Bi 3.35
Nd6 0.8750 0.2500 0.1250  4 Ni 3.03, 4 Bi 3.35
Ni1 0.1250 0.7500 0.8750  4 Bi 2.73, 4 Nd 3.03
Ni2 0.2500 0.6250 0.3750  4 Bi 2.73, 4 Nd 3.03
Ni3 0.3750 0.2500 0.6250  4 Bi 2.73, 4 Nd 3.03
Ni4 0.6250 0.3750 0.2500  4 Bi 2.73, 4 Nd 3.03
Ni5 0.7500 0.8750 0.1250  4 Bi 2.73, 4 Nd 3.03
Ni6 0.8750 0.1250 0.7500  4 Bi 2.73, 4 Nd 3.03
Bi1 0.0000 0.1531 0.5000  3 Ni 2.73
Bi2 0.0000 0.6531 0.5000  3 Ni 2.73
Bi3 0.1531 0.5000 0.0000  3 Ni 2.73
Bi4 0.3469 0.3469 0.3469  3 Ni 2.73
Bi5 0.5000 0.0000 0.1531  3 Ni 2.73
Bi6 0.5000 0.0000 0.6531  3 Ni 2.73
Bi7 0.6531 0.5000 0.0000  3 Ni 2.73
Bi8 0.8469 0.8469 0.8469  3 Ni 2.73

Energy, eV for the cell shown: -106.03
SG: No. 220
Energy relative to the elements, meV per atom: -584